# SrGe2Cl6 | Alexandria via LeMat-Bulk | PBE | optimized geometry
data_SrGe2Cl6
_chemical_formula_sum 'Sr3 Ge6 Cl18'
_space_group_name_H-M_alt 'R 3'
_space_group_IT_number 146
_space_group_name_Hall 'R 3'
_cell_length_a 7.0467
_cell_length_b 7.0467
_cell_length_c 21.8269
_cell_angle_alpha 90.00
_cell_angle_beta 90.00
_cell_angle_gamma 120.00
loop_
_atom_site_label
_atom_site_type_symbol
_atom_site_fract_x
_atom_site_fract_y
_atom_site_fract_z
Sr1 Sr 0.0000 0.0000 0.0000
Ge1 Ge 0.0000 0.0000 0.6306
Ge2 Ge 0.0000 0.0000 0.7994
Cl1 Cl 0.0058 0.7075 0.7409
Cl2 Cl 0.0066 0.3956 0.2440
# V, A^3/atom: 34.76
# Energy relative to the elements, uncorrected, eV per atom: -1.32
# Relative energy among the computed polymorphs, meV per atom: 13.0
# Crystal system: trigonal